LuAgAu: optimized geometry, PBE-GGA.

Geometry as POSCAR:
```
LuAgAu
1.0
0.000 3.295 3.295
3.295 0.000 3.295
3.295 3.295 0.000
Lu Ag Au
1 1 1
direct
0.000 0.000 0.000 Lu
0.500 0.500 0.500 Ag
0.750 0.750 0.750 Au
```

Results
- Formation energy: -10.53 kcal/mol of atoms
- Total magnetic moment: 0.00 μB per formula unit
- VASP energy: -11.98 eV for the cell shown
- Space group: F-43m, No. 216